First-principles (PBE) data for a geometry-optimized Y4InRh structure, as listed in the Alexandria database.

Values from the calculation:
The total energy is -628.82 eV per cell. The density of states at the Fermi level is 62.89 states/eV per cell. The calculation puts the formation energy at -0.559 eV per atom. For the energy above the most stable polymorph in this dataset, the calculation gives 0 meV per atom.

Lattice parameters (Å, degrees): 13.707 13.707 13.707 90.00 90.00 90.00
Space group F-43m (No. 216)
One atom of each set of equivalent atoms:
Y 0.000 0.000 0.188 (multiplicity 24)
Y 0.059 0.250 0.250 (multiplicity 24)
Y 0.100 0.100 0.600 (multiplicity 16)
In 0.167 0.167 0.833 (multiplicity 16)
Rh 0.108 0.108 0.392 (multiplicity 16)